(1)
DFT (PBE) results for a relaxed structure of CrCo3H.

Computed properties:
Mass density: 5.24 g cm⁻³
Magnetic moment: 0.322 μB per atom
E above lowest polymorph: 1794.6 meV per atom

```
CrCo3H
1.0
4.176 0.000 0.000
0.000 4.176 0.000
0.000 0.000 4.176
Cr Co H
1 3 1
Cartesian
0.000 0.000 0.000
0.000 0.000 2.088
0.000 2.088 0.000
2.088 0.000 0.000
2.088 2.088 2.088
```


(2)
DFT (PBE) results for a relaxed structure of CrCo3H3.

Computed properties:
Mass density: 7.85 g cm⁻³
Magnetic moment: 0.374 μB per atom

```
CrCo3H3
1.0
3.746 -3.636 0.000
3.746 3.636 0.000
0.000 0.000 3.600
Cr Co H
2 6 6
Cartesian
3.746 2.855 2.700
3.746 -2.855 0.900
1.868 0.909 2.700
3.746 0.974 0.900
1.868 -0.909 0.900
5.625 0.909 2.700
3.746 -0.974 2.700
5.625 -0.909 0.900
1.918 0.922 0.900
3.746 0.906 2.700
1.918 -0.922 2.700
5.574 0.922 0.900
3.746 -0.906 0.900
5.574 -0.922 2.700
```


(3)
DFT (PBE) results for a relaxed structure of CrCoH3.

Computed properties:
Mass density: 6.43 g cm⁻³
Magnetic moment: 0.000 μB per atom

```
CrCoH3
1.0
5.528 0.000 0.000
0.000 4.056 0.000
-3.786 0.000 5.247
Cr Co H
4 4 12
Cartesian
0.608 1.013 0.435
-1.285 1.015 3.059
3.027 3.041 2.188
1.134 3.042 4.812
0.197 3.015 2.135
-1.696 3.068 4.758
3.437 0.987 0.489
1.545 1.040 3.112
-2.743 0.121 3.988
-0.850 1.906 1.364
-0.887 3.023 3.347
1.006 3.060 0.724
0.289 0.673 2.200
-1.604 1.355 4.823
3.346 2.700 0.424
1.453 3.383 3.047
0.736 0.995 4.523
2.629 1.033 1.900
2.592 2.149 3.883
4.485 3.934 1.259
```


no.,DFT total energy (hartree per atom)
1,-0.1858
2,-0.2143
3,-0.1920